# 1
Density functional theory data (SCAN) for a crystal of Na2LiInF6 relaxed with PBEsol.

Lattice parameters (Å, degrees): 5.6880 5.6880 5.6880 60.00 60.00 60.00
Atoms (fractional coordinates):
Na1 0.2500 0.2500 0.2500
Na2 0.7500 0.7500 0.7500
Li1 0.0000 0.0000 0.0000
In1 0.5000 0.5000 0.5000
F1 0.2438 0.2438 0.7562
F2 0.2438 0.7562 0.2438
F3 0.2438 0.7562 0.7562
F4 0.7562 0.2438 0.2438
F5 0.7562 0.2438 0.7562
F6 0.7562 0.7562 0.2438

Values from the calculation:
As for the space group: Fm-3m. For the total energy, the calculation gives -9.36 eV/atom. Its total magnetization is 0.00 μB/atom. For the uncorrected formation energy, the calculation gives -2.818 eV/atom.



# 2
Density functional theory data (SCAN) for a crystal of LiInOF2 relaxed with PBEsol.

Lattice parameters (Å, degrees): 4.2773 4.2773 3.9875 90.00 90.00 90.00
Atoms (fractional coordinates):
Li1 0.0000 0.0000 0.0000
In1 0.5000 0.5000 0.5000
O1 0.5000 0.5000 0.0000
F1 0.0000 0.5000 0.5000
F2 0.5000 0.0000 0.5000

Values from the calculation:
As for the space group: P4/mmm. For the total energy, the calculation gives -11.96 eV/atom. Its total magnetization is 0.01 μB/atom. For the uncorrected formation energy, the calculation gives -2.138 eV/atom.



Q: Which of these has the lowest total magnetization?
A: Na2LiInF6



Repeat the second record exactly.
Density functional theory data (SCAN) for a crystal of LiInOF2 relaxed with PBEsol.

Lattice parameters (Å, degrees): 4.2773 4.2773 3.9875 90.00 90.00 90.00
Atoms (fractional coordinates):
Li1 0.0000 0.0000 0.0000
In1 0.5000 0.5000 0.5000
O1 0.5000 0.5000 0.0000
F1 0.0000 0.5000 0.5000
F2 0.5000 0.0000 0.5000

Values from the calculation:
As for the space group: P4/mmm. For the total energy, the calculation gives -11.96 eV/atom. Its total magnetization is 0.01 μB/atom. For the uncorrected formation energy, the calculation gives -2.138 eV/atom.